P) VASP calculation (GGA-PBE) on Be2ReRu after structural relaxation.

Results
- total moment (μB per cell) = 0.001

Cell: 7.8734 7.8734 7.8734 Å, 19.63 19.63 19.63°
Closest atoms and distances in Å follow each position.
Atoms (fractional coordinates):
Re: 0.2500 0.2500 0.2500  6 Be 2.53, 6 Re 2.68
Be: 0.0028 0.0028 0.0028  3 Ru 2.42, 3 Re 2.53, 6 Be 2.68
Be: 0.4972 0.4972 0.4972  3 Ru 2.42, 3 Re 2.53, 6 Be 2.68
Ru: 0.7500 0.7500 0.7500  6 Be 2.42, 6 Ru 2.68

Q) VASP calculation (GGA-PBE) on Be2ReRu after structural relaxation.

Results
- total moment (μB per cell) = 0.000

Cell: 2.7971 2.7971 5.6805 Å, 90.00 90.00 90.00°
Closest atoms and distances in Å follow each position.
Atoms (fractional coordinates):
Re: 0.5000 0.5000 0.2500  8 Be 2.50, 4 Re 2.80
Be: 0.0000 0.0000 0.9800  4 Ru 2.37, 4 Re 2.50, 1 Be 2.61
Be: 0.0000 0.0000 0.5200  4 Ru 2.37, 4 Re 2.50, 1 Be 2.61
Ru: 0.5000 0.5000 0.7500  8 Be 2.37

Least stable of them? P).

P) VASP calculation (GGA-PBE) on Be2ReRu after structural relaxation.

Results
- total moment (μB per cell) = 0.001

Cell: 4.5246 4.9199 2.6355 Å, 79.87 78.72 119.50°
Closest atoms and distances in Å follow each position.
Atoms (fractional coordinates):
Re: 0.5000 0.5000 0.0000  4 Be 2.39, 2 Ru 2.58, 2 Re 2.64
Be: 0.0000 0.0000 0.0000  2 Re 2.39, 2 Ru 2.39, 4 Be 2.58-2.64
Be: 0.0000 0.5000 0.5000  2 Ru 2.39, 2 Re 2.39, 4 Be 2.58-2.64
Ru: 0.5000 0.0000 0.5000  4 Be 2.39, 2 Re 2.58, 2 Ru 2.64

Q) VASP calculation (GGA-PBE) on Be2ReRu after structural relaxation.

Results
- total moment (μB per cell) = 0.776

Cell: 3.9821 3.9821 3.9821 Å, 60.00 60.00 60.00°
Closest atoms and distances in Å follow each position.
Atoms (fractional coordinates):
Re: 0.5000 0.5000 0.5000  8 Be 2.44
Be: 0.2500 0.2500 0.2500  4 Re 2.44, 4 Ru 2.44
Be: 0.7500 0.7500 0.7500  4 Re 2.44, 4 Ru 2.44
Ru: 0.0000 0.0000 0.0000  8 Be 2.44

R) VASP calculation (GGA-PBE) on Be2ReRu after structural relaxation.

Results
- total moment (μB per cell) = 0.000

Cell: 8.1297 8.1297 8.1297 Å, 19.05 19.05 19.05°
Closest atoms and distances in Å follow each position.
Atoms (fractional coordinates):
Re: 0.5026 0.5026 0.5026  3 Be 2.52, 3 Ru 2.67, 6 Re 2.69
Be: 0.9996 0.9996 0.9996  3 Ru 2.45, 9 Be 2.48-2.69
Be: 0.2523 0.2523 0.2523  9 Be 2.48-2.69, 3 Re 2.52
Ru: 0.7455 0.7455 0.7455  3 Be 2.45, 3 Re 2.67, 6 Ru 2.69

S) VASP calculation (GGA-PBE) on Be2ReRu after structural relaxation.

Results
- total moment (μB per cell) = 0.001

Cell: 3.6829 2.6431 4.9297 Å, 79.87 90.00 90.00°
Closest atoms and distances in Å follow each position.
Atoms (fractional coordinates):
Re: 0.5000 0.2500 0.2500  4 Be 2.42, 2 Ru 2.58, 2 Re 2.64
Be: 0.0000 0.9722 0.9932  2 Ru 2.33, 2 Re 2.42, 2 Be 2.58-2.60
Be: 0.0000 0.5278 0.5068  2 Ru 2.33, 2 Re 2.42, 2 Be 2.58-2.60
Ru: 0.5000 0.7500 0.7500  4 Be 2.33, 2 Re 2.58

Least stable of them? R).

P) VASP calculation (GGA-PBE) on Be2ReRu after structural relaxation.

Results
- total moment (μB per cell) = 0.000

Cell: 2.9181 4.3446 3.7496 Å, 90.00 90.00 90.00°
Closest atoms and distances in Å follow each position.
Atoms (fractional coordinates):
Re: 0.5000 0.0000 0.5000  4 Be 2.38, 4 Ru 2.62
Be: 0.0000 0.0000 0.0000  4 Re 2.38, 4 Be 2.62
Be: 0.5000 0.5000 0.0000  4 Ru 2.38, 4 Be 2.62
Ru: 0.0000 0.5000 0.5000  4 Be 2.38, 4 Re 2.62

Q) VASP calculation (GGA-PBE) on Be2ReRu after structural relaxation.

Results
- total moment (μB per cell) = 0.000

Cell: 4.0701 4.0701 4.0701 Å, 60.00 60.00 60.00°
Closest atoms and distances in Å follow each position.
Atoms (fractional coordinates):
Re: 0.5000 0.5000 0.5000  4 Be 2.49, 4 Ru 2.49
Be: 0.0000 0.0000 0.0000  4 Ru 2.49, 4 Be 2.49
Be: 0.2500 0.2500 0.2500  4 Be 2.49, 4 Re 2.49
Ru: 0.7500 0.7500 0.7500  4 Re 2.49, 4 Be 2.49

R) VASP calculation (GGA-PBE) on Be2ReRu after structural relaxation.

Results
- total moment (μB per cell) = 0.000

Cell: 3.6618 2.7985 4.5231 Å, 72.05 90.00 90.00°
Closest atoms and distances in Å follow each position.
Atoms (fractional coordinates):
Re: 0.0000 0.4665 0.4423  7 Be 2.34-2.44
Be: 0.0000 0.1938 0.9868  2 Be 2.17, 3 Re 2.34-2.41, 4 Ru 2.42
Be: 0.5000 0.0585 0.2585  2 Be 2.17, 3 Ru 2.37-2.38
Ru: 0.5000 0.7811 0.8124  7 Be 2.37-2.42

S) VASP calculation (GGA-PBE) on Be2ReRu after structural relaxation.

Results
- total moment (μB per cell) = 0.000

Cell: 2.7927 2.7927 5.8241 Å, 90.00 90.00 90.01°
Closest atoms and distances in Å follow each position.
Atoms (fractional coordinates):
Re: 0.0000 0.0000 0.4843  5 Be 2.54-2.68, 4 Ru 2.62, 4 Re 2.79
Be: 0.0000 0.0000 0.0244  4 Be 2.25, 4 Ru 2.43
Be: 0.5000 0.5000 0.2104  4 Be 2.25, 1 Ru 2.50
Ru: 0.5000 0.5000 0.7809  5 Be 2.43-2.50, 4 Re 2.62

Least stable of them? P).

P) VASP calculation (GGA-PBE) on BeReRu2 after structural relaxation.

Results
- total moment (μB per cell) = 0.000

Cell: 8.2484 8.2484 8.2484 Å, 19.10 19.10 19.10°
Closest atoms and distances in Å follow each position.
Atoms (fractional coordinates):
Re: 0.7500 0.7500 0.7500  6 Ru 2.69, 6 Re 2.74
Be: 0.2500 0.2500 0.2500  6 Ru 2.45, 6 Be 2.74
Ru: 0.9935 0.9935 0.9935  3 Be 2.45, 3 Re 2.69, 6 Ru 2.74
Ru: 0.5065 0.5065 0.5065  3 Be 2.45, 3 Re 2.69, 6 Ru 2.74

Q) VASP calculation (GGA-PBE) on BeReRu2 after structural relaxation.

Results
- total moment (μB per cell) = 0.000

Cell: 6.5693 6.5693 5.2629 Å, 51.38 51.38 90.00°
Closest atoms and distances in Å follow each position.
Atoms (fractional coordinates):
Re: 0.0000 0.0000 0.0000  2 Be 2.47, 8 Ru 2.74-2.75
Re: 0.7500 0.2500 0.5000  2 Be 2.47, 8 Ru 2.74-2.75
Be: 0.5000 0.5000 0.0000  4 Ru 2.12
Be: 0.2500 0.7500 0.5000  4 Ru 2.12
Ru: 0.5553 0.1250 0.2500  2 Be 2.12
Ru: 0.1947 0.6250 0.2500  2 Be 2.12
Ru: 0.3750 0.4447 0.7500  2 Be 2.12
Ru: 0.8750 0.8053 0.7500  2 Be 2.12

R) VASP calculation (GGA-PBE) on BeReRu2 after structural relaxation.

Results
- total moment (μB per cell) = 0.013

Cell: 4.2197 4.2197 4.2197 Å, 60.00 60.00 60.00°
Closest atoms and distances in Å follow each position.
Atoms (fractional coordinates):
Re: 0.7500 0.7500 0.7500  4 Ru 2.58, 4 Be 2.58
Be: 0.5000 0.5000 0.5000  4 Ru 2.58, 4 Re 2.58
Ru: 0.0000 0.0000 0.0000  4 Re 2.58, 4 Ru 2.58
Ru: 0.2500 0.2500 0.2500  4 Ru 2.58, 4 Be 2.58

S) VASP calculation (GGA-PBE) on BeReRu2 after structural relaxation.

Results
- total moment (μB per cell) = 0.000

Cell: 2.6772 2.6772 8.1620 Å, 90.00 90.00 115.32°
Closest atoms and distances in Å follow each position.
Atoms (fractional coordinates):
Re: 0.5000 0.5000 0.7500  4 Ru 2.66, 6 Re 2.68-2.86
Be: 0.5000 0.5000 0.2500  4 Ru 2.33
Ru: 0.0000 0.0000 0.0252  2 Be 2.33
Ru: 0.0000 0.0000 0.4748  2 Be 2.33

Least stable of them? Q).

P) VASP calculation (GGA-PBE) on BeReRu2 after structural relaxation.

Results
- total moment (μB per cell) = 0.000

Cell: 3.8761 2.7087 5.2157 Å, 72.51 90.00 90.00°
Closest atoms and distances in Å follow each position.
Atoms (fractional coordinates):
Re: 0.5000 0.7500 0.7500  2 Be 2.55, 2 Re 2.71, 8 Ru 2.71-2.72
Be: 0.5000 0.2500 0.2500  4 Ru 2.38, 2 Re 2.55
Ru: 0.0000 0.0985 0.0186  2 Be 2.38, 1 Ru 2.58
Ru: 0.0000 0.4015 0.4814  2 Be 2.38, 1 Ru 2.58

Q) VASP calculation (GGA-PBE) on BeReRu2 after structural relaxation.

Results
- total moment (μB per cell) = 0.000

Cell: 2.7471 2.7471 8.1713 Å, 80.32 80.32 60.00°
Closest atoms and distances in Å follow each position.
Atoms (fractional coordinates):
Be: 0.6671 0.6671 0.9988  6 Ru 2.43-2.46
Re: 0.5002 0.5002 0.4993  6 Ru 2.66-2.68, 6 Re 2.75
Ru: 0.0771 0.0771 0.7686  3 Be 2.43, 3 Re 2.68
Ru: 0.2556 0.2556 0.2333  3 Be 2.46, 3 Re 2.66, 6 Ru 2.75

R) VASP calculation (GGA-PBE) on BeReRu2 after structural relaxation.

Results
- total moment (μB per cell) = 0.000

Cell: 2.7595 2.7595 6.6362 Å, 90.00 90.00 90.00°
Closest atoms and distances in Å follow each position.
Atoms (fractional coordinates):
Re: 0.5000 0.5000 0.7190  4 Be 2.48, 4 Ru 2.72, 4 Re 2.76
Be: 0.0000 0.0000 0.4884  4 Ru 2.36, 4 Re 2.48
Ru: 0.0000 0.0000 0.0042  8 Ru 2.71-2.76, 4 Re 2.72
Ru: 0.5000 0.5000 0.2883  4 Be 2.36

S) VASP calculation (GGA-PBE) on BeReRu2 after structural relaxation.

Results
- total moment (μB per cell) = 0.000

Cell: 4.2128 4.2128 4.2128 Å, 60.00 60.00 60.00°
Closest atoms and distances in Å follow each position.
Atoms (fractional coordinates):
Re: 0.5000 0.5000 0.5000  8 Ru 2.58
Be: 0.0000 0.0000 0.0000  8 Ru 2.58
Ru: 0.2500 0.2500 0.2500  4 Re 2.58, 4 Be 2.58
Ru: 0.7500 0.7500 0.7500  4 Be 2.58, 4 Re 2.58

Least stable of them? P).

P) VASP calculation (GGA-PBE) on BeReRu2 after structural relaxation.

Results
- total moment (μB per cell) = 0.000

Cell: 2.7996 4.4156 4.3143 Å, 90.00 90.00 90.00°
Closest atoms and distances in Å follow each position.
Atoms (fractional coordinates):
Re: 0.0000 0.5000 0.5000  4 Ru 2.57, 4 Be 2.61, 2 Re 2.80
Be: 0.5000 0.0000 0.5000  4 Ru 2.57, 4 Re 2.61, 2 Be 2.80
Ru: 0.0000 0.0000 0.0000  4 Be 2.57, 6 Ru 2.61-2.80
Ru: 0.5000 0.5000 0.0000  4 Re 2.57, 6 Ru 2.61-2.80

Q) VASP calculation (GGA-PBE) on BeReRu2 after structural relaxation.

Results
- total moment (μB per cell) = 0.000

Cell: 4.4548 4.4548 4.6479 Å, 81.91 81.91 35.54°
Closest atoms and distances in Å follow each position.
Atoms (fractional coordinates):
Re: 0.2500 0.2500 0.2500  6 Ru 2.58-2.68, 4 Be 2.69, 2 Re 2.72
Be: 0.7500 0.7500 0.7500  6 Ru 2.55-2.60, 4 Re 2.69, 2 Be 2.72
Ru: 0.0027 0.0027 0.9859  3 Be 2.55-2.60, 3 Re 2.58-2.68, 6 Ru 2.59-2.80
Ru: 0.4973 0.4973 0.5141  3 Be 2.55-2.60, 3 Re 2.58-2.68, 6 Ru 2.59-2.80

R) VASP calculation (GGA-PBE) on BeReRu2 after structural relaxation.

Results
- total moment (μB per cell) = 0.000

Cell: 4.9110 4.9110 4.9110 Å, 146.05 128.33 63.27°
Closest atoms and distances in Å follow each position.
Atoms (fractional coordinates):
Re: 0.7286 0.2286 0.5000  2 Be 2.42, 6 Ru 2.61-2.68
Be: 0.4956 0.4956 0.0000  6 Ru 2.33-2.58, 2 Re 2.42
Ru: 0.9995 0.9995 0.0000  4 Be 2.58, 4 Re 2.68-2.87, 6 Ru 2.72-2.87
Ru: 0.2763 0.7763 0.5000  2 Be 2.33, 4 Re 2.61

Least stable of them? P).

P) VASP calculation (GGA-PBE) on BeReRu2 after structural relaxation.

Results
- total moment (μB per cell) = 0.000

Cell: 2.7252 3.8225 5.0963 Å, 90.00 90.00 90.00°
Closest atoms and distances in Å follow each position.
Atoms (fractional coordinates):
Re: 0.5000 0.5000 0.7452  1 Ru 2.35
Be: 0.0000 0.0000 0.4863  6 Ru 2.54-2.56, 4 Re 2.69, 2 Be 2.73
Ru: 0.0000 0.0000 0.9846  2 Be 2.54-2.56, 4 Re 2.65, 6 Ru 2.73-2.80
Ru: 0.5000 0.5000 0.2839  1 Re 2.35, 4 Be 2.56

Q) VASP calculation (GGA-PBE) on BeReRu2 after structural relaxation.

Results
- total moment (μB per cell) = 0.000

Cell: 4.8924 4.8924 4.8924 Å, 146.62 127.46 63.69°
Closest atoms and distances in Å follow each position.
Atoms (fractional coordinates):
Re: 0.7500 0.2500 0.5000  4 Be 2.58, 8 Ru 2.72-2.83, 2 Re 2.81
Be: 0.2500 0.7500 0.5000  4 Ru 2.30
Ru: 0.0302 0.0302 0.0000  2 Be 2.30
Ru: 0.4698 0.4698 0.0000  2 Be 2.30

Least stable of them? P).

P) VASP calculation (GGA-PBE) on BeReRu2 after structural relaxation.

Results
- total moment (μB per cell) = 0.000

Cell: 4.2406 4.2406 2.9553 Å, 90.00 90.00 90.00°
Closest atoms and distances in Å follow each position.
Atoms (fractional coordinates):
Re: 0.0000 0.5000 0.5000  8 Ru 2.58
Be: 0.5000 0.0000 0.5000  8 Ru 2.58
Ru: 0.0000 0.0000 0.0000  4 Be 2.58, 4 Re 2.58
Ru: 0.5000 0.5000 0.0000  4 Re 2.58, 4 Be 2.58

Q) VASP calculation (GGA-PBE) on BeReRu2 after structural relaxation.

Results
- total moment (μB per cell) = 0.000

Cell: 2.8512 2.8512 6.2503 Å, 90.00 90.00 90.00°
Closest atoms and distances in Å follow each position.
Atoms (fractional coordinates):
Re: 0.5000 0.5000 0.7500  8 Ru 2.67, 4 Re 2.85
Be: 0.5000 0.5000 0.2500  8 Ru 2.44
Ru: 0.0000 0.0000 0.0291  4 Be 2.44, 4 Re 2.67
Ru: 0.0000 0.0000 0.4709  4 Be 2.44, 4 Re 2.67

Least stable of them? P).

P) VASP calculation (GGA-PBE) on BeReRu2 after structural relaxation.

Results
- total moment (μB per cell) = 0.001

Cell: 4.7938 4.7938 4.7938 Å, 135.80 135.80 64.30°
Closest atoms and distances in Å follow each position.
Atoms (fractional coordinates):
Re: 0.7500 0.2500 0.5000  8 Ru 2.55-2.72, 4 Be 2.72
Be: 0.5000 0.5000 0.0000  8 Ru 2.55-2.72, 4 Re 2.72
Ru: 0.0000 0.0000 0.0000  4 Be 2.55, 4 Re 2.72, 4 Ru 2.72
Ru: 0.2500 0.7500 0.5000  4 Re 2.55, 4 Be 2.72, 4 Ru 2.72

Q) VASP calculation (GGA-PBE) on BeReRu2 after structural relaxation.

Results
- total moment (μB per cell) = 0.001

Cell: 2.6626 2.6626 8.3454 Å, 90.00 90.00 115.50°
Closest atoms and distances in Å follow each position.
Atoms (fractional coordinates):
Re: 0.5000 0.5000 0.7341  2 Be 2.46, 2 Ru 2.63, 4 Re 2.66
Be: 0.0000 0.0000 0.4936  2 Ru 2.32, 2 Re 2.46
Ru: 0.0000 0.0000 0.9991  2 Re 2.63, 8 Ru 2.66-2.84
Ru: 0.5000 0.5000 0.2733  2 Be 2.32

Least stable of them? Q).

P) VASP calculation (GGA-PBE) on Be3ReSb after structural relaxation.

Results
- total moment (μB per cell) = 0.000

Cell: 4.3292 4.3292 4.3292 Å, 90.00 90.00 90.00°
Closest atoms and distances in Å follow each position.
Atoms (fractional coordinates):
Re: 0.0000 0.0000 0.0000  6 Be 2.16
Be: 0.0000 0.5000 0.0000  2 Re 2.16
Be: 0.0000 0.0000 0.5000  2 Re 2.16
Be: 0.5000 0.0000 0.0000  2 Re 2.16
Sb: 0.5000 0.5000 0.5000  12 Be 3.06

Q) VASP calculation (GGA-PBE) on Be3ReSb after structural relaxation.

Results
- total moment (μB per cell) = 2.191

Cell: 4.4601 4.4601 4.4601 Å, 90.00 90.00 90.00°
Closest atoms and distances in Å follow each position.
Atoms (fractional coordinates):
Re: 0.5000 0.5000 0.5000  12 Be 3.15
Be: 0.0000 0.5000 0.0000  2 Sb 2.23
Be: 0.0000 0.0000 0.5000  2 Sb 2.23
Be: 0.5000 0.0000 0.0000  2 Sb 2.23
Sb: 0.0000 0.0000 0.0000  6 Be 2.23

Least stable of them? Q).